DFT (PBE) results for an optimized crystal structure of HoTlTe2Au.

## Properties
Density of states at the Fermi level, states/eV per cell: 5.66
Magnetization, μB/cell: 0.0
Raw formation energy, meV per atom: -615
Theoretical density, g/cm3: 8.217
Calculated total energy, eV/atom: -3.9156

Cell: 4.809 8.701 8.027 Å, 98.68 90.00 90.00°
Atoms (fractional coordinates):
Tl: 0.167 0.500 0.750
Ho: 0.499 0.000 0.750
Te: 0.335 0.745 0.457
Au: 0.000 0.000 0.500
Te: 0.665 0.745 0.957
Ho: 0.501 0.000 0.250
Tl: 0.833 0.500 0.250
Au: 0.000 0.000 0.000
Te: 0.665 0.255 0.543
Te: 0.335 0.255 0.043